K5Pb | Alexandria via LeMat-Bulk | PBE-GGA | relaxed; formation energy = -0.17 eV/f.u.; N(E_F) = 7.4 states/eV/cell; total energy = -1.5607 eV per atom; distance to the lowest polymorph of the same formula = 1.6 kJ/mol of formula units
1.0
4.659 0.000 0.000
0.000 10.810 0.000
0.000 0.000 13.518
K Pb
10 2
direct
0.250 0.817 0.403
0.250 0.891 0.750
0.750 0.183 0.903
0.250 0.423 0.393
0.750 0.577 0.607
0.250 0.817 0.097
0.750 0.577 0.893
0.250 0.423 0.107
0.750 0.183 0.597
0.750 0.109 0.250
0.750 0.624 0.250
0.250 0.376 0.750